Record 1
DFT (meta-GGA SCAN) results for a crystal of AlSi2Se relaxed with PBEsol.

Output
The offset from the most stable computed form is 255 meV per atom. The value obtained for the density of states at the Fermi level is 3.068 states/eV per cell. The value obtained for the formation energy (no corrections) is 0.408 eV per atom.

Geometry as CIF:
```
data_AlSi2Se
_cell_length_a 3.184
_cell_length_b 4.148
_cell_length_c 10.369
_cell_angle_alpha 90.00
_cell_angle_beta 90.00
_cell_angle_gamma 90.00
_space_group_name_H-M_alt 'I m m 2'
_space_group_IT_number 44
loop_
_space_group_symop_operation_xyz
'x,y,z'
'-x,-y,z'
'-x,y,z'
'x,-y,z'
'x+1/2,y+1/2,z+1/2'
'-x+1/2,-y+1/2,z+1/2'
'-x+1/2,y+1/2,z+1/2'
'x+1/2,-y+1/2,z+1/2'
loop_
_atom_site_label
_atom_site_fract_x
_atom_site_fract_y
_atom_site_fract_z
Al1 0.000 0.000 0.000
Si1 0.000 0.000 0.584
Si2 0.000 0.500 0.270
Se1 0.000 0.500 0.814
```

=====

Record 2
DFT (meta-GGA SCAN) results for a crystal of LiCoCO4 relaxed with PBEsol.

Output
The value obtained for the density of states at the Fermi level is 0.000 states/eV per cell. The value obtained for the formation energy (no corrections) is -1.684 eV per atom.

Geometry as CIF:
```
data_LiCoCO4
_cell_length_a 9.071
_cell_length_b 2.889
_cell_length_c 9.000
_cell_angle_alpha 90.00
_cell_angle_beta 90.00
_cell_angle_gamma 90.00
_space_group_name_H-M_alt 'P n m a'
_space_group_IT_number 62
loop_
_space_group_symop_operation_xyz
'x,y,z'
'-x,-y,-z'
'-x+1/2,-y,z+1/2'
'x+1/2,y,-z+1/2'
'x+1/2,-y+1/2,-z+1/2'
'-x+1/2,y+1/2,z+1/2'
'-x,y+1/2,-z'
'x,-y+1/2,z'
loop_
_atom_site_label
_atom_site_fract_x
_atom_site_fract_y
_atom_site_fract_z
Li1 0.102 0.250 0.186
Co1 0.119 0.250 0.556
C1 0.167 0.250 0.864
O1 0.001 0.250 0.389
O2 0.030 0.250 0.873
O3 0.238 0.250 0.739
O4 0.245 0.250 0.991
```

=====

Repeat the second record exactly.
DFT (meta-GGA SCAN) results for a crystal of LiCoCO4 relaxed with PBEsol.

Output
The value obtained for the density of states at the Fermi level is 0.000 states/eV per cell. The value obtained for the formation energy (no corrections) is -1.684 eV per atom.

Geometry as CIF:
```
data_LiCoCO4
_cell_length_a 9.071
_cell_length_b 2.889
_cell_length_c 9.000
_cell_angle_alpha 90.00
_cell_angle_beta 90.00
_cell_angle_gamma 90.00
_space_group_name_H-M_alt 'P n m a'
_space_group_IT_number 62
loop_
_space_group_symop_operation_xyz
'x,y,z'
'-x,-y,-z'
'-x+1/2,-y,z+1/2'
'x+1/2,y,-z+1/2'
'x+1/2,-y+1/2,-z+1/2'
'-x+1/2,y+1/2,z+1/2'
'-x,y+1/2,-z'
'x,-y+1/2,z'
loop_
_atom_site_label
_atom_site_fract_x
_atom_site_fract_y
_atom_site_fract_z
Li1 0.102 0.250 0.186
Co1 0.119 0.250 0.556
C1 0.167 0.250 0.864
O1 0.001 0.250 0.389
O2 0.030 0.250 0.873
O3 0.238 0.250 0.739
O4 0.245 0.250 0.991
```

=====

formation energy (no corrections) of number 2 (LiCoCO4)?
-1.684 eV per atom

=====

What is the formation energy (no corrections) in the second record?
-1.684 eV per atom